# CsMnI4 PBE relaxed
# E above lowest polymorph, eV per atom: 0.000
# Total moment, μB per formula unit: 4.000
# Uncorrected formation energy, eV/atom: -0.723
# Final energy, eV for the cell shown: -41.12
data_CsMnI4
_chemical_formula_sum 'Cs2 Mn2 I8'
_space_group_name_H-M_alt 'P 1 21/m 1'
_space_group_IT_number 11
_cell_length_a 7.203
_cell_length_b 11.267
_cell_length_c 8.079
_cell_angle_alpha 90.00
_cell_angle_beta 93.53
_cell_angle_gamma 90.00
loop_
_space_group_symop_operation_xyz
'x,y,z'
'-x,-y,-z'
'-x,y+1/2,-z'
'x,-y+1/2,z'
loop_
_atom_site_label
_atom_site_type_symbol
_atom_site_fract_x
_atom_site_fract_y
_atom_site_fract_z
_atom_site_occupancy
Cs1 Cs 0.076 0.250 0.215 1
Mn1 Mn 0.246 0.750 0.282 1
I1 I 0.113 0.250 0.720 1
I2 I 0.321 0.569 0.095 1
I3 I 0.405 0.750 0.581 1